The following is a DFT calculation (PBE) of a geometry-optimized LaVGa3 structure.

The calculation puts the polymorph energy (0 for the lowest one) at 1586 meV/atom. The energy of formation is 6.36 eV per formula unit.

It has space group Pm-3m (No. 221), with a = 5.530 Å, b = 5.530 Å, c = 5.530 Å, α = 90.00°, β = 90.00° and γ = 90.00°. Symmetry generates all atoms from La at (0.000, 0.000, 0.000), V at (0.500, 0.500, 0.500) and Ga at (0.000, 0.000, 0.500).